{"formula": "Gd3DyF", "functional": "PBE", "state": "optimized geometry", "cell": [[5.092, 0.000, 0.000], [0.000, 5.092, 0.000], [0.000, 0.000, 5.092]], "species": ["Gd", "Gd", "Gd", "Dy", "F"], "fractional_positions": [[0.000, 0.000, 0.500], [0.000, 0.500, 0.000], [0.500, 0.000, 0.000], [0.500, 0.500, 0.500], [0.000, 0.000, 0.000]], "space_group": "Pm-3m", "e_form_raw_kcal_per_mol_atoms": -21.331, "vol_a3_per_atom": 26.4, "energy_ev_per_fu": -53.3}

***

{"formula": "La3Y7Th", "functional": "PBE", "state": "optimized geometry", "cell": [[7.137, 0.000, 0.000], [-3.568, 6.181, 0.000], [0.000, 0.000, 8.867]], "species": ["La", "La", "La", "Y", "Y", "Y", "Y", "Y", "Y", "Y", "Th"], "fractional_positions": [[0.007, 0.504, 0.000], [0.496, 0.504, 0.000], [0.496, 0.993, 0.000], [0.169, 0.337, 0.655], [0.169, 0.831, 0.655], [0.334, 0.167, 0.334], [0.663, 0.831, 0.655], [0.667, 0.333, 0.656], [0.833, 0.167, 0.334], [0.833, 0.666, 0.334], [0.333, 0.667, 0.333]], "space_group": "P3m1", "formation_enthalpy_0k_ev_per_fu": 1.91, "vol_a3_per_atom": 35.6, "energy_ev_per_fu": -65.5}

***

{"formula": "RePt3Br", "functional": "PBE", "state": "optimized geometry", "cell": [[4.873, 0.000, 0.000], [0.000, 4.873, 0.000], [0.000, 0.000, 4.873]], "species": ["Re", "Pt", "Pt", "Pt", "Br"], "fractional_positions": [[0.000, 0.000, 0.000], [0.000, 0.000, 0.500], [0.000, 0.500, 0.000], [0.500, 0.000, 0.000], [0.500, 0.500, 0.500]], "space_group": "Pm-3m", "e_above_lowest_polymorph_ev_per_atom": 0.0000, "e_form_raw_kcal_per_mol_atoms": 29.758, "vol_a3_per_atom": 23.1, "energy_ev_per_fu": -25.8}

***

{"formula": "AcDyAu2", "functional": "PBE", "state": "optimized geometry", "cell": [[3.715, 0.000, 0.000], [0.000, 3.715, 0.000], [0.000, 0.000, 7.625]], "species": ["Ac", "Dy", "Au", "Au"], "fractional_positions": [[0.000, 0.000, 0.000], [0.000, 0.000, 0.500], [0.500, 0.500, 0.287], [0.500, 0.500, 0.713]], "space_group": "P4/mmm", "e_above_lowest_polymorph_ev_per_atom": 0.0241, "formation_enthalpy_0k_ev_per_fu": -3.22, "vol_a3_per_atom": 26.3, "energy_ev_per_fu": -18.5}

***

{"formula": "Li4BiSb", "functional": "PBE", "state": "optimized geometry", "cell": [[4.710, 0.000, 0.000], [0.000, 4.710, 0.000], [0.000, 0.000, 6.432]], "species": ["Li", "Li", "Li", "Li", "Bi", "Sb"], "fractional_positions": [[0.000, 0.500, 0.234], [0.000, 0.500, 0.766], [0.500, 0.000, 0.234], [0.500, 0.000, 0.766], [0.000, 0.000, 0.500], [0.500, 0.500, 0.000]], "space_group": "P4/mmm", "e_above_lowest_polymorph_ev_per_atom": 0.1500, "e_form_raw_kcal_per_mol_atoms": -7.720, "vol_a3_per_atom": 23.8, "energy_ev_per_fu": -17.7}

***

{"formula": "SmCoSi2Os", "functional": "PBE", "state": "optimized geometry", "cell": [[-2.029, 2.029, 4.952], [2.029, -2.029, 4.952], [2.029, 2.029, -4.952]], "species": ["Sm", "Co", "Si", "Si", "Os"], "fractional_positions": [[0.000, 0.000, 0.000], [0.750, 0.250, 0.500], [0.370, 0.370, 0.000], [0.630, 0.630, 0.000], [0.250, 0.750, 0.500]], "space_group": "I-4m2", "e_form_raw_kcal_per_mol_atoms": -17.433, "vol_a3_per_atom": 16.3, "energy_ev_per_fu": -37.7}

***

{"formula": "Mg2Ga3Cu2", "functional": "PBE", "state": "optimized geometry", "cell": [[4.766, -2.039, 0.000], [4.766, 2.039, 0.000], [-2.924, 0.000, 6.004]], "species": ["Mg", "Mg", "Ga", "Ga", "Ga", "Cu", "Cu"], "fractional_positions": [[0.151, 0.151, 0.287], [0.849, 0.849, 0.713], [0.378, 0.378, 0.050], [0.500, 0.500, 0.500], [0.622, 0.622, 0.950], [0.132, 0.132, 0.701], [0.868, 0.868, 0.299]], "space_group": "C2/m", "formation_enthalpy_0k_ev_per_fu": -1.17, "vol_a3_per_atom": 16.7, "energy_ev_per_fu": -21.6}

***

{"formula": "Ce2NdSm3P6", "functional": "PBE", "state": "optimized geometry", "cell": [[3.558, -6.163, 0.000], [3.558, 6.163, 0.000], [-2.372, 0.000, 6.704]], "species": ["Ce", "Ce", "Nd", "Sm", "Sm", "Sm", "P", "P", "P", "P", "P", "P"], "fractional_positions": [[0.167, 0.833, 0.000], [0.833, 0.167, 0.000], [0.500, 0.500, 0.000], [0.000, 0.000, 0.500], [0.334, 0.666, 0.500], [0.666, 0.334, 0.500], [0.079, 0.417, 0.752], [0.244, 0.244, 0.248], [0.417, 0.079, 0.752], [0.583, 0.921, 0.248], [0.756, 0.756, 0.752], [0.921, 0.583, 0.248]], "space_group": "C2/m", "formation_enthalpy_0k_ev_per_fu": -18.62, "vol_a3_per_atom": 24.5, "energy_ev_per_fu": -81.9}

***

{"formula": "MgTl4Cd", "functional": "PBE", "state": "optimized geometry", "cell": [[3.860, 0.000, 0.000], [0.000, 3.860, 0.000], [0.000, 0.000, 11.242]], "species": ["Mg", "Tl", "Tl", "Tl", "Tl", "Cd"], "fractional_positions": [[0.000, 0.000, 0.000], [0.000, 0.000, 0.339], [0.000, 0.000, 0.661], [0.500, 0.500, 0.156], [0.500, 0.500, 0.844], [0.500, 0.500, 0.500]], "space_group": "P4/mmm", "e_above_lowest_polymorph_ev_per_atom": 0.0000, "formation_enthalpy_0k_ev_per_fu": 0.12, "vol_a3_per_atom": 27.9, "energy_ev_per_fu": -11.9}

***

{"formula": "Zr2PPdS", "functional": "PBE", "state": "optimized geometry", "cell": [[5.160, 0.000, 0.000], [0.000, 5.160, 0.000], [0.000, 0.000, 4.244]], "species": ["Zr", "Zr", "P", "Pd", "S"], "fractional_positions": [[0.000, 0.500, 0.000], [0.500, 0.000, 0.000], [0.000, 0.000, 0.500], [0.500, 0.500, 0.000], [0.500, 0.500, 0.500]], "space_group": "P4/mmm", "e_form_raw_kcal_per_mol_atoms": 6.730, "vol_a3_per_atom": 22.6, "energy_ev_per_fu": -30.4}

***

{"formula": "Pr2CuRu", "functional": "PBE", "state": "optimized geometry", "cell": [[5.946, 0.000, 0.000], [0.000, 4.228, 0.000], [-2.817, 0.000, 7.614]], "species": ["Pr", "Pr", "Pr", "Pr", "Cu", "Cu", "Ru", "Ru"], "fractional_positions": [[0.216, 0.250, 0.437], [0.223, 0.250, 0.922], [0.777, 0.750, 0.078], [0.784, 0.750, 0.563], [0.360, 0.750, 0.214], [0.640, 0.250, 0.786], [0.355, 0.750, 0.718], [0.645, 0.250, 0.282]], "space_group": "P2_1/m", "formation_enthalpy_0k_ev_per_fu": -0.79, "vol_a3_per_atom": 23.9, "energy_ev_per_fu": -23.7}

***

{"formula": "Na3Tl7In2", "functional": "PBE", "state": "optimized geometry", "cell": [[5.663, 0.000, 0.000], [0.000, 3.453, 0.000], [-1.743, 0.000, 18.184]], "species": ["Na", "Na", "Na", "Tl", "Tl", "Tl", "Tl", "Tl", "Tl", "Tl", "In", "In"], "fractional_positions": [[0.000, 0.000, 0.000], [0.293, 0.500, 0.633], [0.707, 0.500, 0.367], [0.153, 0.500, 0.144], [0.239, 0.000, 0.462], [0.337, 0.000, 0.810], [0.500, 0.500, 0.000], [0.663, 0.000, 0.190], [0.761, 0.000, 0.538], [0.847, 0.500, 0.856], [0.184, 0.000, 0.294], [0.816, 0.000, 0.706]], "space_group": "P2/m", "e_above_lowest_polymorph_ev_per_atom": 0.0229, "formation_enthalpy_0k_ev_per_fu": -0.50, "vol_a3_per_atom": 29.6, "energy_ev_per_fu": -26.5}